# 1
# YInHgTe3

A relaxed structure of YInHgTe3 (PBE, OQMD). Values from VASP.

```
&SYSTEM
  ibrav = 0, nat = 12, ntyp = 4
/
ATOMIC_SPECIES
Y 88.91 Y.upf
Hg 200.59 Hg.upf
Te 127.60 Te.upf
In 114.82 In.upf
CELL_PARAMETERS angstrom
-3.576 1.728 -1.912
0.884 -1.177 -7.797
-5.379 -10.115 0.917
ATOMIC_POSITIONS crystal
Y 0.000 0.000 0.000
Y 0.000 0.000 0.500
Hg 0.535 0.931 0.250
Te 0.641 0.718 0.452
In 0.238 0.523 0.250
In 0.762 0.477 0.750
Hg 0.465 0.069 0.750
Te 0.912 0.177 0.250
Te 0.359 0.282 0.952
Te 0.641 0.718 0.048
Te 0.088 0.823 0.750
Te 0.359 0.282 0.548
```

Results
Energy above the lowest structure with this stoichiometry, eV/atom: 0.0221
Magnetization, μB per formula unit: 0.00
Total energy, eV for the cell shown: -45.9


# 2
# YInHgTe3

A relaxed structure of YInHgTe3 (PBE, OQMD). Values from VASP.

```
&SYSTEM
  ibrav = 0, nat = 24, ntyp = 4
/
ATOMIC_SPECIES
Te 127.60 Te.upf
In 114.82 In.upf
Y 88.91 Y.upf
Hg 200.59 Hg.upf
CELL_PARAMETERS angstrom
-10.325 -1.523 4.945
-1.401 -2.189 -3.600
4.792 -12.960 6.014
ATOMIC_POSITIONS crystal
Te 0.060 0.250 0.106
Te 0.261 0.750 0.340
In 0.232 0.250 0.512
Te 0.962 0.250 0.388
Te 0.739 0.250 0.660
Y 0.488 0.250 0.747
In 0.768 0.750 0.488
Hg 0.258 0.250 0.217
Te 0.462 0.250 0.112
Te 0.940 0.750 0.894
Te 0.560 0.250 0.394
Te 0.038 0.750 0.612
Hg 0.242 0.750 0.717
Y 0.512 0.750 0.253
Te 0.239 0.250 0.840
Te 0.440 0.750 0.606
Hg 0.742 0.750 0.783
Y 0.012 0.750 0.247
Hg 0.758 0.250 0.283
Te 0.538 0.750 0.888
Y 0.988 0.250 0.753
Te 0.761 0.750 0.160
In 0.268 0.750 0.012
In 0.732 0.250 0.988
```

Results
Energy above the lowest structure with this stoichiometry, eV/atom: 0.0215
Magnetization, μB per formula unit: 0.00
Total energy, eV for the cell shown: -91.8


# 3
# YInHgTe3

A relaxed structure of YInHgTe3 (PBE, OQMD). Values from VASP.

```
&SYSTEM
  ibrav = 0, nat = 12, ntyp = 4
/
ATOMIC_SPECIES
In 114.82 In.upf
Hg 200.59 Hg.upf
Te 127.60 Te.upf
Y 88.91 Y.upf
CELL_PARAMETERS angstrom
-1.156 -8.337 -1.885
4.388 -0.627 0.083
-0.080 0.893 11.011
ATOMIC_POSITIONS crystal
In 0.236 0.750 0.212
Hg 0.415 0.750 0.883
Te 0.764 0.750 0.053
Hg 0.585 0.250 0.117
Te 0.558 0.250 0.365
Te 0.442 0.750 0.635
Te 0.236 0.250 0.947
In 0.764 0.250 0.788
Te 0.939 0.750 0.644
Te 0.061 0.250 0.356
Y 0.809 0.750 0.356
Y 0.191 0.250 0.644
```

Results
Energy above the lowest structure with this stoichiometry, eV/atom: 0.0384
Magnetization, μB per formula unit: 0.00
Total energy, eV for the cell shown: -45.7


Which value of energy above the lowest structure with this stoichiometry does entry 1 give? 0.0221 eV/atom


Look up the total energy of the third one. -45.7 eV for the cell shown